# 1
Material: ScMnCr
Method: DFT, PBE
State: relaxed

The value obtained for the energy above the lowest structure with this stoichiometry is 1230 meV/atom. Its total DFT energy (no corrections) is -7.182 eV per atom. The volume is 61.9 Å³/f.u. The density is 4.08 g cm⁻³. The formation energy is 1192.9 meV per atom.

The structure belongs to space group F-43m (No. 216); the cell edges are 6.279, 6.279 and 6.279 Å and the angles 90.00°, 90.00° and 90.00°. The asymmetric unit holds Sc at (0.000, 0.000, 0.000), Mn at (0.250, 0.250, 0.750) and Cr at (0.250, 0.250, 0.250).

# 2
Material: Rb7Na3
Method: DFT, PBE
State: relaxed

The value obtained for the energy above the lowest structure with this stoichiometry is 6 meV/atom. Its total DFT energy (no corrections) is -1.037 eV per atom. The volume is 750.9 Å³/f.u. The density is 1.48 g cm⁻³. The formation energy is 36.1 meV per atom.

The structure belongs to space group P6_3mc (No. 186); the cell edges are 14.3181, 14.3181 and 8.4591 Å and the angles 90.00°, 90.00° and 120.00°. The asymmetric unit holds Rb at (0.0760, 0.5380, 0.0000), Rb at (0.1237, 0.2475, 0.2293), Rb at (0.3333, 0.6667, 0.4536) and Na at (0.1909, 0.3817, 0.6999).

# 3
Material: NaCd3Sn
Method: DFT, PBE
State: relaxed

The value obtained for the energy above the lowest structure with this stoichiometry is 289 meV/atom. Its total DFT energy (no corrections) is -1.374 eV per atom. The volume is 186.0 Å³/f.u. The density is 4.28 g cm⁻³. The formation energy is 239.2 meV per atom.

The structure belongs to space group Pm-3m (No. 221); the cell edges are 5.708, 5.708 and 5.708 Å and the angles 90.00°, 90.00° and 90.00°. The asymmetric unit holds Na at (0.000, 0.000, 0.000), Cd at (0.000, 0.500, 0.500) and Sn at (0.500, 0.500, 0.500).